VASP calculation (GGA-PBE) on a geometry-optimized CaY2ZrBi structure.

Cell and atoms, written as CIF:
```
data_CaY2ZrBi
_space_group_name_H-M_alt 'P 1'
_space_group_IT_number 1
_space_group_name_Hall 'P 1'
_cell_length_a 5.568
_cell_length_b 5.748
_cell_length_c 5.568
_cell_angle_alpha 90.00
_cell_angle_beta 90.00
_cell_angle_gamma 90.00
loop_
_atom_site_label
_atom_site_type_symbol
_atom_site_fract_x
_atom_site_fract_y
_atom_site_fract_z
Ca1 Ca 0.500 0.500 0.500
Y1 Y 0.000 0.000 0.500
Zr1 Zr 0.000 0.000 0.000
Y2 Y 0.500 0.000 0.000
Bi1 Bi 0.000 0.500 0.000
```

Values from the calculation:
**Energy relative to the elements**: 1.408 eV per formula unit